Material: LiLa2Br6
Method: DFT, PBE-GGA
State: relaxed

abc: 7.039 7.039 12.560
angles: 90.00 90.00 90.00
Fractional coordinates of all 18 atoms:
Li (0.500, 0.500, 0.000)
Li (0.000, 0.000, 0.500)
La (0.500, 0.500, 0.347)
La (0.500, 0.500, 0.653)
La (0.000, 0.000, 0.153)
La (0.000, 0.000, 0.847)
Br (0.697, 0.697, 0.161)
Br (0.697, 0.697, 0.839)
Br (0.727, 0.727, 0.500)
Br (0.773, 0.227, 0.000)
Br (0.803, 0.197, 0.339)
Br (0.803, 0.197, 0.661)
Br (0.197, 0.803, 0.339)
Br (0.197, 0.803, 0.661)
Br (0.227, 0.773, 0.000)
Br (0.273, 0.273, 0.500)
Br (0.303, 0.303, 0.161)
Br (0.303, 0.303, 0.839)

## Properties
ΔE_f (raw): -1.771 eV per atom
Excess energy over the best structure of this formula in the dataset: 6.5 meV per atom
SG: No. 136
Electronic total energy: -75.49 eV per cell
Crystal system: tetragonal